Record 1
VASP calculation (GGA-PBE) on a relaxed Li2SmDy crystal.

abc: 3.339 3.339 12.012
angles: 82.01 82.01 60.00
Positions (direct):
1 Li 0.088 0.088 0.737
2 Li 0.912 0.912 0.263
3 Sm 0.500 0.500 0.500
4 Dy 0.000 0.000 0.000

## Properties
Its total DFT energy (no corrections) is -12.0 eV/cell. The density of states at the Fermi level is 3.250 states/eV per cell. As for the space group: R-3m, No. 166.

Record 2
VASP calculation (GGA-PBE) on a relaxed LiSmDy crystal.

abc: 3.525 3.525 28.625
angles: 105.41 105.41 59.97
Positions (direct):
1 Li 0.892 0.892 0.540
2 Li 0.108 0.108 0.460
3 Sm 0.752 0.752 0.943
4 Sm 0.248 0.248 0.057
5 Dy 0.271 0.271 0.840
6 Dy 0.729 0.729 0.160

## Properties
Its total DFT energy (no corrections) is -20.4 eV/cell. The density of states at the Fermi level is 8.586 states/eV per cell. As for the space group: C2/m, No. 12.

Record 3
VASP calculation (GGA-PBE) on a relaxed LiSmDy crystal.

abc: 3.506 3.506 8.371
angles: 90.00 90.00 120.00
Positions (direct):
1 Li 0.000 0.000 0.998
2 Sm 0.667 0.333 0.331
3 Dy 0.333 0.667 0.671

## Properties
Its total DFT energy (no corrections) is -10.9 eV/cell. The density of states at the Fermi level is 3.224 states/eV per cell. As for the space group: P3m1, No. 156.

Record 4
VASP calculation (GGA-PBE) on a relaxed LiSmDy crystal.

abc: 3.605 3.605 13.294
angles: 90.00 90.00 90.00
Positions (direct):
1 Li 0.000 0.000 0.000
2 Li 0.500 0.500 0.000
3 Dy 0.000 0.500 0.595
4 Dy 0.500 0.000 0.405
5 Sm 0.000 0.500 0.218
6 Sm 0.500 0.000 0.782

## Properties
Its total DFT energy (no corrections) is -21.7 eV/cell. The density of states at the Fermi level is 6.821 states/eV per cell. As for the space group: P4/nmm, No. 129.

Record 5
VASP calculation (GGA-PBE) on a relaxed LiSmDy crystal.

abc: 3.697 3.697 6.736
angles: 105.93 105.93 90.00
Positions (direct):
1 Dy 0.015 0.015 0.029
2 Sm 0.321 0.321 0.642
3 Li 0.664 0.664 0.329

## Properties
Its total DFT energy (no corrections) is -11.0 eV/cell. The density of states at the Fermi level is 4.303 states/eV per cell. As for the space group: I4mm, No. 107.

Record 6
VASP calculation (GGA-PBE) on a relaxed Li2SmDy crystal.

abc: 5.298 5.298 5.298
angles: 60.00 60.00 60.00
Positions (direct):
1 Li 0.250 0.250 0.250
2 Li 0.750 0.750 0.750
3 Sm 0.500 0.500 0.500
4 Dy 0.000 0.000 0.000

## Properties
Its total DFT energy (no corrections) is -12.5 eV/cell. The density of states at the Fermi level is 5.026 states/eV per cell. As for the space group: Fm-3m, No. 225.

Record 7
VASP calculation (GGA-PBE) on a relaxed Li4SmDy crystal.

abc: 5.869 5.869 5.869
angles: 60.00 60.00 60.00
Positions (direct):
1 Li 0.625 0.625 0.124
2 Li 0.625 0.124 0.625
3 Li 0.625 0.625 0.625
4 Li 0.124 0.625 0.625
5 Sm 0.250 0.250 0.250
6 Dy 0.000 0.000 0.000

## Properties
Its total DFT energy (no corrections) is -16.3 eV/cell. The density of states at the Fermi level is 5.523 states/eV per cell. As for the space group: F-43m, No. 216.

Record 8
VASP calculation (GGA-PBE) on a relaxed LiSm5Dy4 crystal.

abc: 3.600 3.600 24.303
angles: 90.00 90.00 90.00
Positions (direct):
1 Li 0.000 0.000 0.000
2 Sm 0.500 0.500 0.086
3 Sm 0.500 0.500 0.292
4 Sm 0.500 0.500 0.500
5 Sm 0.500 0.500 0.708
6 Sm 0.500 0.500 0.914
7 Dy 0.000 0.000 0.188
8 Dy 0.000 0.000 0.396
9 Dy 0.000 0.000 0.604
10 Dy 0.000 0.000 0.812

## Properties
Its total DFT energy (no corrections) is -43.6 eV/cell. The density of states at the Fermi level is 13.604 states/eV per cell. As for the space group: P4/mmm, No. 123.